(1)
VASP calculation (PBE) on crystalline Er2ScGe2 at its relaxed geometry.

The structure belongs to space group C2/m (No. 12); the cell edges are 11.759, 4.267 and 10.279 Å and the angles 90.00°, 117.32° and 90.00°. The inequivalent atoms are Er at (0.016, 0.000, 0.185), Er at (0.183, 0.000, 0.592), Sc at (0.222, 0.500, 0.866), Ge at (0.020, 0.500, 0.386) and Ge at (0.126, 0.500, 0.067).

The energy above the lowest structure with this stoichiometry is 8 meV/atom. As for the electronic total energy: -113.66 eV per cell. As for the size of the total moment: 0.00 μB/cell. The energy of formation from the pure elements is -745 meV/atom.

***

(2)
VASP calculation (PBE) on crystalline Pm3TmSb2C at its relaxed geometry.

The structure belongs to space group Immm (No. 71); the cell edges are 4.748, 4.912 and 16.264 Å and the angles 90.00°, 90.00° and 90.00°. The inequivalent atoms are Pm at (0.000, 0.000, 0.000), Pm at (0.000, 0.500, 0.161), Tm at (0.000, 0.000, 0.500), Sb at (0.000, 0.500, 0.361) and C at (0.000, 0.500, 0.000).

As for the electronic total energy: -83.32 eV per cell. As for the size of the total moment: 0.00 μB/cell. As for the raw formation energy: -781 meV/atom.